Entry from Alexandria: a relaxed YLuAu2 crystal (PBE-GGA).

V: 22.76 A^3/atom
E above lowest polymorph: 10.7 meV/atom
formation energy: -0.870 eV/atom

a b c (Å): 7.141 7.141 7.141
angles (deg): 90.00 90.00 90.00
Space group Fm-3m (No. 225)
One atom of each set of equivalent atoms:
Y (0.000, 0.000, 0.000) [4 per cell]
Lu (0.000, 0.000, 0.500) [4 per cell]
Au (0.250, 0.250, 0.250) [8 per cell]